(1)
# Na2TiPb3S6 | Alexandria via LeMat-Bulk | PBE | optimized geometry
# energy: -4.74 eV per atom
# space-group type: C2/m
data_Na2TiPb3S6
_chemical_formula_sum 'Na2 Ti1 Pb3 S6'
_symmetry_space_group_name_H-M 'P 1'
_symmetry_Int_Tables_number 1
_cell_length_a 7.046
_cell_length_b 7.046
_cell_length_c 6.925
_cell_angle_alpha 99.50
_cell_angle_beta 99.50
_cell_angle_gamma 119.66
loop_
_symmetry_equiv_pos_as_xyz
'x,y,z'
loop_
_atom_site_label
_atom_site_type_symbol
_atom_site_fract_x
_atom_site_fract_y
_atom_site_fract_z
Na1 Na 0.332 0.668 0.000
Na2 Na 0.668 0.332 0.000
Ti1 Ti 0.000 0.000 0.000
Pb1 Pb 0.165 0.835 0.500
Pb2 Pb 0.835 0.165 0.500
Pb3 Pb 0.500 0.500 0.500
S1 S 0.927 0.640 0.787
S2 S 0.782 0.782 0.234
S3 S 0.073 0.360 0.213
S4 S 0.640 0.927 0.787
S5 S 0.218 0.218 0.766
S6 S 0.360 0.073 0.213

=====

(2)
# NaTmPb2S4 | Alexandria via LeMat-Bulk | PBE | optimized geometry
# energy: -4.84 eV per atom
# space-group type: P2/m
data_NaTmPb2S4
_chemical_formula_sum 'Na1 Tm1 Pb2 S4'
_symmetry_space_group_name_H-M 'P 1'
_symmetry_Int_Tables_number 1
_cell_length_a 4.078
_cell_length_b 7.063
_cell_length_c 7.145
_cell_angle_alpha 108.36
_cell_angle_beta 90.00
_cell_angle_gamma 90.00
loop_
_symmetry_equiv_pos_as_xyz
'x,y,z'
loop_
_atom_site_label
_atom_site_type_symbol
_atom_site_fract_x
_atom_site_fract_y
_atom_site_fract_z
Na1 Na 0.500 0.500 0.000
Tm1 Tm 0.000 0.000 0.000
Pb1 Pb 0.500 0.000 0.500
Pb2 Pb 0.000 0.500 0.500
S1 S 0.500 0.231 0.223
S2 S 0.500 0.769 0.777
S3 S 0.000 0.240 0.768
S4 S 0.000 0.760 0.232

=====

(3)
# Na3UPb2S6 | Alexandria via LeMat-Bulk | PBE | optimized geometry
# energy: -5.03 eV per atom
# space-group type: C2/m
data_Na3UPb2S6
_chemical_formula_sum 'Na3 U1 Pb2 S6'
_symmetry_space_group_name_H-M 'P 1'
_symmetry_Int_Tables_number 1
_cell_length_a 7.221
_cell_length_b 7.221
_cell_length_c 7.021
_cell_angle_alpha 100.03
_cell_angle_beta 100.03
_cell_angle_gamma 120.02
loop_
_symmetry_equiv_pos_as_xyz
'x,y,z'
loop_
_atom_site_label
_atom_site_type_symbol
_atom_site_fract_x
_atom_site_fract_y
_atom_site_fract_z
Na1 Na 0.170 0.830 0.500
Na2 Na 0.830 0.170 0.500
Na3 Na 0.500 0.500 0.500
U1 U 0.000 0.000 0.000
Pb1 Pb 0.334 0.666 0.000
Pb2 Pb 0.666 0.334 0.000
S1 S 0.922 0.621 0.766
S2 S 0.778 0.778 0.228
S3 S 0.078 0.379 0.234
S4 S 0.621 0.922 0.766
S5 S 0.222 0.222 0.772
S6 S 0.379 0.078 0.234

=====

(4)
# Na2UPb2S6 | Alexandria via LeMat-Bulk | PBE | optimized geometry
# energy: -5.18 eV per atom
# space-group type: C2/m
data_Na2UPb2S6
_chemical_formula_sum 'Na2 U1 Pb2 S6'
_symmetry_space_group_name_H-M 'P 1'
_symmetry_Int_Tables_number 1
_cell_length_a 7.106
_cell_length_b 7.106
_cell_length_c 7.010
_cell_angle_alpha 100.31
_cell_angle_beta 100.31
_cell_angle_gamma 117.61
loop_
_symmetry_equiv_pos_as_xyz
'x,y,z'
loop_
_atom_site_label
_atom_site_type_symbol
_atom_site_fract_x
_atom_site_fract_y
_atom_site_fract_z
Na1 Na 0.825 0.175 0.000
Na2 Na 0.175 0.825 0.000
U1 U 0.000 0.000 0.500
Pb1 Pb 0.333 0.667 0.500
Pb2 Pb 0.667 0.333 0.500
S1 S 0.795 0.795 0.725
S2 S 0.071 0.374 0.726
S3 S 0.205 0.205 0.275
S4 S 0.374 0.071 0.726
S5 S 0.929 0.626 0.274
S6 S 0.626 0.929 0.274

=====

(5)
# NaUPb2S5 | Alexandria via LeMat-Bulk | PBE | optimized geometry
# energy: -5.32 eV per atom
# space-group type: Immm
data_NaUPb2S5
_chemical_formula_sum 'Na1 U1 Pb2 S5'
_symmetry_space_group_name_H-M 'P 1'
_symmetry_Int_Tables_number 1
_cell_length_a 5.089
_cell_length_b 7.202
_cell_length_c 8.382
_cell_angle_alpha 115.44
_cell_angle_beta 107.67
_cell_angle_gamma 90.00
loop_
_symmetry_equiv_pos_as_xyz
'x,y,z'
loop_
_atom_site_label
_atom_site_type_symbol
_atom_site_fract_x
_atom_site_fract_y
_atom_site_fract_z
Na1 Na 0.000 0.500 0.000
U1 U 0.500 0.000 0.000
Pb1 Pb 0.211 0.211 0.422
Pb2 Pb 0.789 0.789 0.578
S1 S 0.633 0.888 0.267
S2 S 0.367 0.112 0.733
S3 S 0.367 0.621 0.733
S4 S 0.633 0.379 0.267
S5 S 0.000 0.000 0.000

=====

(6)
# NaY2Pb3S6 | Alexandria via LeMat-Bulk | PBE | optimized geometry
# energy: -5.34 eV per atom
# space-group type: C2/m
data_NaY2Pb3S6
_chemical_formula_sum 'Na1 Y2 Pb3 S6'
_symmetry_space_group_name_H-M 'P 1'
_symmetry_Int_Tables_number 1
_cell_length_a 3.944
_cell_length_b 8.913
_cell_length_c 9.229
_cell_angle_alpha 105.12
_cell_angle_beta 102.34
_cell_angle_gamma 90.00
loop_
_symmetry_equiv_pos_as_xyz
'x,y,z'
loop_
_atom_site_label
_atom_site_type_symbol
_atom_site_fract_x
_atom_site_fract_y
_atom_site_fract_z
Na1 Na 0.500 0.000 0.000
Y1 Y 0.836 0.668 0.671
Y2 Y 0.164 0.332 0.329
Pb1 Pb 0.500 0.500 0.000
Pb2 Pb 0.840 0.160 0.680
Pb3 Pb 0.160 0.840 0.320
S1 S 0.329 0.878 0.659
S2 S 0.673 0.554 0.346
S3 S 0.671 0.122 0.341
S4 S 0.009 0.255 0.018
S5 S 0.991 0.745 0.982
S6 S 0.327 0.446 0.654

=====

The calculation returns the following formation energy (no corrections) values, one per record and in order: -0.8674 -1.1279 -1.0751 -0.9848 -0.8047 -1.1658 eV per atom.